1.
Y2ReOs: optimized geometry, PBE-GGA.

```
Y2ReOs
1.0
3.110 0.000 0.000
0.000 3.110 0.000
0.000 0.000 9.009
Y Re Os
2 1 1
direct
0.000 0.000 0.000
0.500 0.500 0.369
0.500 0.500 0.764
0.000 0.000 0.602
```



2.
YRe2Os2: optimized geometry, PBE-GGA.

```
YRe2Os2
1.0
-2.133 2.133 5.208
2.133 -2.133 5.208
2.133 2.133 -5.208
Y Re Os
1 2 2
direct
0.000 0.000 0.000
0.250 0.750 0.500
0.750 0.250 0.500
0.380 0.380 0.000
0.620 0.620 0.000
```



3.
YZr2ReOs: optimized geometry, PBE-GGA.

```
YZr2ReOs
1.0
4.975 0.000 0.000
0.000 4.975 0.000
0.000 0.000 5.222
Y Zr Re Os
1 2 1 1
direct
0.000 0.000 0.000
0.000 0.500 0.500
0.500 0.000 0.500
0.500 0.500 0.000
0.000 0.000 0.500
```



4.
YZrRe2Os: optimized geometry, PBE-GGA.

```
YZrRe2Os
1.0
4.793 0.000 0.000
0.000 4.793 0.000
0.000 0.000 5.005
Y Zr Re Os
1 1 2 1
direct
0.000 0.000 0.000
0.500 0.500 0.000
0.000 0.500 0.500
0.500 0.000 0.500
0.000 0.000 0.500
```



5.
ZnRe2Os: optimized geometry, PBE-GGA.

```
ZnRe2Os
1.0
2.784 0.000 0.000
0.000 2.784 0.000
0.000 0.000 7.560
Zn Re Os
1 2 1
direct
0.000 0.000 0.000
0.000 0.000 0.487
0.500 0.500 0.744
0.500 0.500 0.250
```



6.
Zn2ReOs: optimized geometry, PBE-GGA.

```
Zn2ReOs
1.0
3.739 0.000 0.000
0.000 3.739 0.000
0.000 0.000 4.167
Zn Re Os
2 1 1
direct
0.000 0.500 0.000
0.500 0.000 0.000
0.000 0.000 0.500
0.500 0.500 0.500
```



7.
ZnRe2Os: optimized geometry, PBE-GGA.

```
ZnRe2Os
1.0
2.749 0.000 0.000
0.000 2.749 0.000
0.000 0.000 7.756
Zn Re Os
1 2 1
direct
0.000 0.000 0.000
0.500 0.500 0.255
0.500 0.500 0.745
0.000 0.000 0.500
```



8.
Zn2ReOs: optimized geometry, PBE-GGA.

```
Zn2ReOs
1.0
-1.434 2.274 4.463
1.434 -2.274 4.463
1.434 2.274 -4.463
Zn Re Os
2 1 1
direct
0.247 0.247 0.000
0.753 0.753 0.000
0.500 0.000 0.500
0.000 0.500 0.500
```



Total magnetic moment for the records above, in order: 0.0; 0.0; 1.2; 0.0; 0.0; 0.2; 0.0; 0.0 μB/cell
ΔE_f for the records above, in order: 0.05; 0.01; 0.99; 1.19; 0.16; 0.44; 0.20; 0.30 eV/atom